No. 1
Entry from Alexandria: an optimized crystal structure of K2AgSnS4 (PBE-GGA).

It has space group I-42m (No. 121), with a = 7.8064 Å, b = 7.8064 Å, c = 6.9451 Å, α = 90.00°, β = 90.00° and γ = 90.00°. The distinct sites, in fractional coordinates, are K at (0.0000, 0.5000, 0.0000), Ag at (0.0000, 0.0000, 0.0000), Sn at (0.0000, 0.0000, 0.5000) and S at (0.1644, 0.1644, 0.2680).

The crystal system is tetragonal. The uncorrected formation energy comes out at -4.83 eV/f.u.

***

No. 2
Entry from Alexandria: an optimized crystal structure of LiNi2Pt (PBE-GGA).

It has space group Immm (No. 71), with a = 2.8550 Å, b = 4.0594 Å, c = 8.3161 Å, α = 90.00°, β = 90.00° and γ = 90.00°. The distinct sites, in fractional coordinates, are Li at (0.0000, 0.0000, 0.0000), Ni at (0.0000, 0.5000, 0.2564) and Pt at (0.0000, 0.0000, 0.5000).

The crystal system is orthorhombic. As for the formation energy from the elements: -132.1 meV per atom.

***

No. 3
Entry from Alexandria: an optimized crystal structure of Li4PN3 (PBE-GGA).

It has space group Cc (No. 9), with a = 9.8907 Å, b = 5.0703 Å, c = 7.1426 Å, α = 90.00°, β = 111.36° and γ = 90.00°. The distinct sites, in fractional coordinates, are Li at (0.0000, 0.1487, 0.0000), Li at (0.0748, 0.3501, 0.6822), Li at (0.2775, 0.3164, 0.0346), Li at (0.4081, 0.2460, 0.7814), P at (0.2437, 0.1561, 0.3739), N at (0.0906, 0.0133, 0.3121), N at (0.2622, 0.4455, 0.2992) and N at (0.3877, 0.0109, 0.5158).

The crystal system is monoclinic. The uncorrected formation energy comes out at -5.65 eV/f.u.

***

No. 4
Entry from Alexandria: an optimized crystal structure of BaLiZn2In2 (PBE-GGA).

It has space group P-3m1 (No. 164), with a = 4.7087 Å, b = 4.7087 Å, c = 7.9496 Å, α = 90.00°, β = 90.00° and γ = 120.00°. The distinct sites, in fractional coordinates, are Ba at (0.0000, 0.0000, 0.0000), Li at (0.0000, 0.0000, 0.5000), Zn at (0.3333, 0.6667, 0.3088) and In at (0.3333, 0.6667, 0.6785).

The crystal system is trigonal. As for the formation energy from the elements: -289.9 meV per atom.

***

No. 5
Entry from Alexandria: an optimized crystal structure of Pm6PrNd3 (PBE-GGA).

It has space group R3 (No. 146, hexagonal axes), with a = 10.1024 Å, b = 10.1024 Å, c = 11.9745 Å, α = 90.00°, β = 90.00° and γ = 120.00°. The distinct sites, in fractional coordinates, are Pm at (0.9999, 0.3259, 0.0000), Pm at (0.0000, 0.6746, 0.5000), Pr at (0.0000, 0.0000, 0.0010), Nd at (0.0000, 0.0000, 0.2520), Nd at (0.0000, 0.0000, 0.5010) and Nd at (0.0000, 0.0000, 0.7502).

The crystal system is trigonal. As for the formation energy from the elements: 241.9 meV per atom.

***

No. 6
Entry from Alexandria: an optimized crystal structure of TcTeS2 (PBE-GGA).

It has space group I-42d (No. 122), with a = 6.4511 Å, b = 6.4511 Å, c = 9.0934 Å, α = 90.00°, β = 90.00° and γ = 90.00°. The distinct sites, in fractional coordinates, are Tc at (0.0000, 0.0000, 0.0000), Te at (0.0000, 0.0000, 0.5000) and S at (0.1634, 0.7500, 0.1250).

The crystal system is tetragonal. The uncorrected formation energy comes out at 0.66 eV/f.u.

***

No. 7
Entry from Alexandria: an optimized crystal structure of BaCa3Pt (PBE-GGA).

It has space group Pm-3m (No. 221), with a = 5.7670 Å, b = 5.7670 Å, c = 5.7670 Å, α = 90.00°, β = 90.00° and γ = 90.00°. The distinct sites, in fractional coordinates, are Ba at (0.0000, 0.0000, 0.0000), Ca at (0.0000, 0.5000, 0.5000) and Pt at (0.5000, 0.5000, 0.5000).

The crystal system is cubic. As for the formation energy from the elements: -455.7 meV per atom.

***

No. 8
Entry from Alexandria: an optimized crystal structure of Fe2ReRu2 (PBE-GGA).

It has space group P4/mbm (No. 127), with a = 6.9228 Å, b = 6.9228 Å, c = 2.6846 Å, α = 90.00°, β = 90.00° and γ = 90.00°. The distinct sites, in fractional coordinates, are Fe at (0.1196, 0.3804, 0.0000), Re at (0.0000, 0.0000, 0.0000) and Ru at (0.1757, 0.6757, 0.5000).

The crystal system is tetragonal. As for the formation energy from the elements: 202.6 meV per atom.

***

| no. | volume (A^3/atom) |
| --- | --- |
| 1 | 26.5 |
| 2 | 12.0 |
| 3 | 10.4 |
| 4 | 25.4 |
| 5 | 35.3 |
| 6 | 23.7 |
| 7 | 38.4 |
| 8 | 12.9 |